(1)
Material: BeNiRu
Method: DFT, GGA-PBEsol
State: optimized geometry

a = 5.152 Å, b = 5.152 Å, c = 5.152 Å
α = 90.00°, β = 90.00°, γ = 90.00°
Space group F-43m (No. 216)
Symmetry-distinct sites (fractional):
Be  0.000  0.000  0.000 [4 per cell]
Ni  0.250  0.250  0.750 [4 per cell]
Ru  0.250  0.250  0.250 [4 per cell]

Computed properties:
Formation energy ... 301 meV/atom
Final energy ... -6.48 eV per atom
Spin magnetization ... 1.08 μB per formula unit

(2)
Material: SrAs2Se
Method: DFT, GGA-PBEsol
State: optimized geometry

a = 7.149 Å, b = 7.149 Å, c = 7.149 Å
α = 90.00°, β = 90.00°, γ = 90.00°
Space group F-43m (No. 216)
Symmetry-distinct sites (fractional):
Sr  0.000  0.000  0.000 [4 per cell]
As  0.000  0.000  0.500 [4 per cell]
As  0.250  0.250  0.750 [4 per cell]
Se  0.250  0.250  0.250 [4 per cell]

Computed properties:
Final energy ... -4.34 eV per atom
Spin magnetization ... 0.00 μB per formula unit